# 1
{"formula": "PtS2Cl2F2", "functional": "PBE", "state": "optimized geometry", "total_energy_ev_per_atom": -3.616, "spacegroup": "C2/m, No. 12", "raw_formation_energy_ev_per_atom": -0.512, "lattice": [[-0.918, -1.439, -3.002], [7.129, -4.037, -2.233], [-1.511, -5.707, 1.211]], "species": ["S", "S", "Cl", "Cl", "F", "F", "Pt"], "fractional_positions": [[0.089, 0.416, 0.406], [0.911, 0.584, 0.594], [0.434, 0.883, 0.249], [0.566, 0.117, 0.751], [0.179, 0.805, 0.837], [0.821, 0.195, 0.163], [0.000, 0.000, 0.000]]}

---

# 2
{"formula": "PtS2ClF", "functional": "PBE", "state": "optimized geometry", "total_energy_ev_per_atom": -2.610, "spacegroup": "P4/mmm, No. 123", "relative_energy_mev_per_atom": 576, "raw_formation_energy_ev_per_atom": 0.993, "lattice": [[-3.352, -1.832, 1.339], [0.385, -2.812, -2.885], [3.173, -3.209, 3.551]], "species": ["S", "S", "Cl", "F", "Pt"], "fractional_positions": [[0.500, 0.000, 0.000], [0.000, 0.500, 0.000], [0.000, 0.000, 0.500], [0.000, 0.000, 0.000], [0.500, 0.500, 0.500]]}

---

# 3
{"formula": "ScPtClF2", "functional": "PBE", "state": "optimized geometry", "total_energy_ev_per_atom": -4.021, "spacegroup": "P4/mmm, No. 123", "raw_formation_energy_ev_per_atom": -0.429, "lattice": [[-0.390, 0.060, 4.511], [-0.744, -4.393, -0.005], [4.448, -0.754, 0.394]], "species": ["Pt", "Cl", "F", "F", "Sc"], "fractional_positions": [[0.000, 0.500, 0.000], [0.000, 0.000, 0.000], [0.000, 0.000, 0.500], [0.500, 0.000, 0.000], [0.500, 0.500, 0.500]]}

---

# 4
{"formula": "PuCl2F2", "functional": "PBE", "state": "optimized geometry", "total_energy_ev_per_atom": -6.829, "relative_energy_mev_per_atom": 20, "raw_formation_energy_ev_per_atom": -2.475, "lattice": [[-0.735, -3.107, -2.177], [-0.664, -2.442, 3.710], [-12.249, 3.034, -0.195]], "species": ["Pu", "Pu", "F", "F", "F", "F", "Cl", "Cl", "Cl", "Cl"], "fractional_positions": [[0.000, 0.000, 0.000], [0.000, 0.500, 0.500], [0.500, 0.000, 0.904], [0.500, 0.500, 0.596], [0.500, 0.500, 0.404], [0.500, 0.000, 0.096], [0.000, 0.500, 0.125], [0.000, 0.500, 0.875], [0.000, 0.000, 0.375], [0.000, 0.000, 0.625]]}

---

# 5
{"formula": "PuClF", "functional": "PBE", "state": "optimized geometry", "total_energy_ev_per_atom": -8.297, "spacegroup": "I4mm, No. 107", "relative_energy_mev_per_atom": 151, "raw_formation_energy_ev_per_atom": -2.280, "lattice": [[-0.019, -3.079, -1.498], [2.568, 0.978, -2.043], [1.948, -0.564, 5.048]], "species": ["Cl", "F", "Pu"], "fractional_positions": [[0.009, 0.009, 0.018], [0.292, 0.292, 0.585], [0.699, 0.699, 0.398]]}

---

# 6
{"formula": "Pu2ClF", "functional": "PBE", "state": "optimized geometry", "total_energy_ev_per_atom": -9.300, "spacegroup": "P4/mmm, No. 123", "relative_energy_mev_per_atom": 243, "raw_formation_energy_ev_per_atom": -1.205, "lattice": [[3.380, 0.000, 0.000], [0.000, 3.380, 0.000], [0.000, 0.000, 7.269]], "species": ["Pu", "Pu", "F", "Cl"], "fractional_positions": [[0.000, 0.000, 0.233], [0.000, 0.000, 0.767], [0.500, 0.500, 0.000], [0.500, 0.500, 0.500]]}

---

# 7
{"formula": "PuClF", "functional": "PBE", "state": "optimized geometry", "total_energy_ev_per_atom": -8.434, "spacegroup": "C2/m, No. 12", "relative_energy_mev_per_atom": 13, "raw_formation_energy_ev_per_atom": -2.418, "lattice": [[3.917, 0.000, 0.000], [0.000, 6.990, -1.385], [-1.959, -3.409, 5.352]], "species": ["Cl", "Cl", "Pu", "Pu", "F", "F"], "fractional_positions": [[0.570, 0.796, 0.141], [0.430, 0.204, 0.859], [0.817, 0.349, 0.634], [0.183, 0.651, 0.366], [0.804, 0.681, 0.609], [0.196, 0.319, 0.391]]}

---

# 8
{"formula": "Pu2ClF6", "functional": "PBE", "state": "optimized geometry", "total_energy_ev_per_atom": -7.901, "spacegroup": "Immm, No. 71", "raw_formation_energy_ev_per_atom": -3.263, "lattice": [[3.908, 0.012, 1.277], [1.512, 5.767, 1.935], [0.115, -0.031, 6.267]], "species": ["Pu", "Pu", "F", "F", "F", "F", "F", "F", "Cl"], "fractional_positions": [[0.290, 0.710, 0.710], [0.710, 0.290, 0.290], [0.781, 0.554, 0.883], [0.219, 0.117, 0.446], [0.500, 0.337, 0.663], [0.781, 0.883, 0.554], [0.500, 0.663, 0.337], [0.219, 0.446, 0.117], [0.000, 0.000, 0.000]]}

---

Number 1: M_tot 0.843 μB/cell, density of states at the Fermi level 2.5 states/eV/cell. Number 2: M_tot 1.552 μB/cell, density of states at the Fermi level 5.3 states/eV/cell. Number 3: M_tot 0.001 μB/cell, density of states at the Fermi level 4.9 states/eV/cell. Number 4: M_tot 0.000 μB/cell, density of states at the Fermi level 13.7 states/eV/cell. Number 5: M_tot 5.999 μB/cell, density of states at the Fermi level 7.3 states/eV/cell. Number 6: M_tot 13.854 μB/cell, density of states at the Fermi level 12.4 states/eV/cell. Number 7: M_tot 12.000 μB/cell, density of states at the Fermi level 21.8 states/eV/cell. Number 8: M_tot 9.000 μB/cell, density of states at the Fermi level 16.9 states/eV/cell.